Computed, not measured: a relaxed La2PbCl crystal at the PBE level of DFT. Values from VASP.

```
&SYSTEM
  ibrav = 0, nat = 4, ntyp = 3
/
ATOMIC_SPECIES
La 138.91 La.upf
Cl 35.45 Cl.upf
Pb 207.20 Pb.upf
CELL_PARAMETERS angstrom
4.636 0.007 0.002
2.313 4.018 0.002
2.318 1.342 6.745
ATOMIC_POSITIONS crystal
La 0.505 0.505 0.485
La 0.995 0.995 0.015
Cl 0.250 0.250 0.250
Pb 0.750 0.750 0.750
```

Results
SG ... R-3m, No. 166
Formation energy from raw total energies ... -1107 meV per atom
Mass density ... 6.885 g/cm3

Computed, not measured: a relaxed Pr3P2H crystal at the PBE level of DFT. Values from VASP.

```
&SYSTEM
  ibrav = 0, nat = 12, ntyp = 3
/
ATOMIC_SPECIES
P 30.97 P.upf
H 1.01 H.upf
Pr 140.91 Pr.upf
CELL_PARAMETERS angstrom
5.813 0.000 0.000
0.000 8.268 0.005
-2.906 -2.067 6.105
ATOMIC_POSITIONS crystal
P 0.668 0.584 0.335
P 0.667 0.084 0.335
P 0.333 0.916 0.665
P 0.332 0.416 0.665
H 0.973 0.750 0.000
H 0.027 0.250 0.000
Pr 0.488 0.250 0.000
Pr 0.829 0.414 0.658
Pr 0.171 0.586 0.342
Pr 0.512 0.750 0.000
Pr 0.829 0.914 0.658
Pr 0.171 0.086 0.342
```

Results
SG ... C2/c, No. 15
Total energy ... -5.862 eV per atom
Mass density ... 5.497 g/cm3

Computed, not measured: a relaxed NaAc2PO6 crystal at the PBE level of DFT. Values from VASP.

```
&SYSTEM
  ibrav = 0, nat = 10, ntyp = 4
/
ATOMIC_SPECIES
O 16.00 O.upf
Ac 227.00 Ac.upf
Na 22.99 Na.upf
P 30.97 P.upf
CELL_PARAMETERS angstrom
-0.123 3.958 -2.062
-1.584 -2.468 -4.642
-5.255 0.604 1.472
ATOMIC_POSITIONS crystal
O 0.686 0.211 0.789
O 0.119 0.500 0.500
O 0.686 0.789 0.211
O 0.686 0.789 0.789
O 0.242 0.000 0.000
O 0.686 0.211 0.211
Ac 0.065 0.000 0.500
Ac 0.065 0.500 0.000
Na 0.608 0.500 0.500
P 0.603 0.000 0.000
```

Results
SG ... P4mm, No. 99
Formation energy from raw total energies ... -2692 meV per atom
Mass density ... 7.450 g/cm3

Computed, not measured: a relaxed Cr2RhSe2 crystal at the PBE level of DFT. Values from VASP.

```
&SYSTEM
  ibrav = 0, nat = 10, ntyp = 3
/
ATOMIC_SPECIES
Se 78.96 Se.upf
Rh 102.91 Rh.upf
Cr 52.00 Cr.upf
CELL_PARAMETERS angstrom
-6.213 -1.089 2.892
3.063 -3.036 5.436
0.188 2.804 1.460
ATOMIC_POSITIONS crystal
Se 0.341 0.159 0.500
Se 0.159 0.659 0.500
Se 0.659 0.841 0.500
Se 0.841 0.341 0.500
Rh 0.000 0.000 0.000
Rh 0.500 0.500 0.000
Cr 0.864 0.636 0.000
Cr 0.364 0.864 0.000
Cr 0.636 0.136 0.000
Cr 0.136 0.364 0.000
```

Results
SG ... P4/mbm, No. 127
Formation energy from raw total energies ... 167 meV per atom
Mass density ... 7.945 g/cm3

M_tot per entry: 0.0000 0.0000 0.0000 0.8487 μB per atom